Here is an optimized crystal structure of Na3Tl3NiF8 from the Alexandria database. Energies are from PBE+U.

Computed properties:
symmetry = R-3m, No. 166
energy = -4.111 eV/atom

```
Na3Tl3NiF8
1.0
-3.6815 -5.0639 -2.8611
2.5080 -0.7431 6.3690
-5.7544 4.6983 -0.9091
Na Tl Ni F
3 3 1 8
direct
0.5000 0.0000 0.5000 Na
0.5000 0.5000 0.5000 Na
0.0000 0.5000 0.5000 Na
0.0000 0.0000 0.0000 Tl
0.0000 0.5000 0.0000 Tl
0.5000 0.5000 0.0000 Tl
0.0000 0.0000 0.5000 Ni
0.2689 0.5377 0.3066 F
0.7311 0.4623 0.6934 F
0.7953 0.5905 0.3218 F
0.2047 0.4095 0.6782 F
0.7952 0.0264 0.3217 F
0.2048 0.9736 0.6783 F
0.2312 0.0264 0.3218 F
0.7688 0.9736 0.6782 F
```